Entry 1:
A plane-wave DFT calculation with PBE was carried out for a geometry-optimized CaBPt2Se structure.

The size of the total moment comes out at 0.00 Bohr magnetons per cell. The crystal system is tetragonal. As for the electronic total energy: -4.4359 eV/atom.

Lattice parameters (Å, degrees): 4.864 4.864 4.227 90.00 90.00 90.00
Space group P4/mmm (No. 123)
One atom of each set of equivalent atoms:
1 Ca 0.000 0.000 0.000
2 B 0.500 0.500 0.000
3 Pt 0.000 0.500 0.500
4 Se 0.500 0.500 0.500



Entry 2:
A plane-wave DFT calculation with PBE was carried out for a geometry-optimized Ca2SiBPt6 structure.

The size of the total moment comes out at 0.00 Bohr magnetons per cell. The crystal system is trigonal. As for the electronic total energy: -6.0489 eV/atom.

Lattice parameters (Å, degrees): 5.7496 5.7496 18.5185 90.00 90.00 120.00
Space group R-3m (No. 166, hexagonal axes)
One atom of each set of equivalent atoms:
1 Ca 0.0000 0.0000 0.2123
2 Si 0.0000 0.0000 0.5000
3 B 0.0000 0.0000 0.0000
4 Pt 0.0181 0.5090 0.2693



Entry 3:
A plane-wave DFT calculation with PBE was carried out for a geometry-optimized Ca3SiB2Pt9 structure.

The size of the total moment comes out at 0.00 Bohr magnetons per cell. The crystal system is trigonal. As for the electronic total energy: -6.0139 eV/atom.

Lattice parameters (Å, degrees): 5.7896 5.7896 8.9058 90.00 90.00 120.00
Space group P-3m1 (No. 164)
One atom of each set of equivalent atoms:
1 Ca 0.0000 0.0000 0.0000
2 Ca 0.3333 0.6667 0.6066
3 Si 0.0000 0.0000 0.5000
4 B 0.3333 0.6667 0.1535
5 Pt 0.0000 0.5000 0.0000
6 Pt 0.1613 0.3225 0.2905



no.,E_form (uncorrected) (eV per atom)
1,0.413
2,-0.814
3,-0.737